An optimized crystal structure of Mg2AlCr, computed with PBE.

Values from the calculation:
E_form   0.811 eV/f.u.
Space group   Pm
Final energy   -3.94 eV per atom

The structure in POSCAR format:
```
Mg2AlCr
1.0
6.026 0.000 0.000
0.000 4.649 0.000
-2.903 0.000 5.291
Mg Al Cr
4 2 2
Direct
0.000 0.000 0.000
0.000 0.000 0.485
0.339 0.500 0.167
0.828 0.500 0.658
0.494 0.000 0.511
0.511 0.000 0.984
0.343 0.500 0.671
0.814 0.500 0.152
```

---

An optimized crystal structure of CrNi3Ir3, computed with PBE.

Values from the calculation:
E_form   0.221 eV/f.u.
Space group   P1
Final energy   -7.62 eV per atom

The structure in POSCAR format:
```
CrNi3Ir3
1.0
6.441 0.000 0.000
-1.666 7.679 0.000
-1.720 -2.782 7.258
Cr Ni Ir
4 12 12
Direct
0.000 0.000 0.000
0.063 0.077 0.703
0.510 0.625 0.126
0.667 0.451 0.631
0.004 0.503 0.497
0.007 0.248 0.248
0.020 0.758 0.751
0.053 0.574 0.206
0.244 0.320 0.062
0.247 0.810 0.554
0.407 0.657 0.794
0.410 0.161 0.285
0.484 0.370 0.873
0.494 0.119 0.625
0.497 0.874 0.374
0.682 0.951 0.141
0.060 0.447 0.815
0.076 0.960 0.321
0.253 0.311 0.560
0.253 0.801 0.063
0.401 0.039 0.909
0.422 0.549 0.409
0.664 0.380 0.196
0.673 0.871 0.705
0.804 0.181 0.482
0.811 0.668 0.970
0.818 0.222 0.927
0.824 0.740 0.425
```

---

An optimized crystal structure of PrLuIrAu, computed with PBE.

Values from the calculation:
E_form   -2.898 eV/f.u.
Space group   F-43m
Final energy   -6.08 eV per atom

The structure in POSCAR format:
```
PrLuIrAu
1.0
0.000 3.555 3.555
3.555 0.000 3.555
3.555 3.555 0.000
Pr Lu Ir Au
1 1 1 1
Direct
0.000 0.000 0.000
0.500 0.500 0.500
0.250 0.250 0.250
0.750 0.750 0.750
```

---

An optimized crystal structure of YRuAu3, computed with PBE.

Values from the calculation:
E_form   6.182 eV/f.u.
Energy above the most stable polymorph in this dataset   818 meV per atom
Space group   Pm-3m
Final energy   -3.88 eV per atom

The structure in POSCAR format:
```
YRuAu3
1.0
5.303 0.000 0.000
0.000 5.303 0.000
0.000 0.000 5.303
Y Ru Au
1 1 3
Direct
0.000 0.000 0.000
0.500 0.500 0.500
0.000 0.000 0.500
0.000 0.500 0.000
0.500 0.000 0.000
```

---

An optimized crystal structure of PdRu2Pt2, computed with PBE.

Values from the calculation:
E_form   1.934 eV/f.u.
Energy above the most stable polymorph in this dataset   94 meV per atom
Space group   I4/mmm
Final energy   -6.78 eV per atom

The structure in POSCAR format:
```
PdRu2Pt2
1.0
-1.792 1.792 6.405
1.792 -1.792 6.405
1.792 1.792 -6.405
Pd Ru Pt
1 2 2
Direct
0.000 0.000 0.000
0.250 0.750 0.500
0.750 0.250 0.500
0.399 0.399 0.000
0.601 0.601 0.000
```

---

An optimized crystal structure of CuSi2W2, computed with PBE.

Values from the calculation:
Formation energy from raw total energies   0.354 eV/atom
Energy above the most stable polymorph in this dataset   308 meV per atom
Space group   I4/mmm
Final energy   -7.82 eV per atom

The structure in POSCAR format:
```
CuSi2W2
1.0
-1.931 1.931 5.523
1.931 -1.931 5.523
1.931 1.931 -5.523
Cu Si W
1 2 2
Direct
0.000 0.000 0.000
0.399 0.399 0.000
0.601 0.601 0.000
0.250 0.750 0.500
0.750 0.250 0.500
```

---

An optimized crystal structure of TeP2Pt, computed with PBE.

Values from the calculation:
Formation energy from raw total energies   0.266 eV/atom
Space group   P4/mmm
Final energy   -4.73 eV per atom

The structure in POSCAR format:
```
TeP2Pt
1.0
3.490 0.000 0.000
0.000 3.490 0.000
0.000 0.000 6.253
Te P Pt
1 2 1
Direct
0.000 0.000 0.000
0.500 0.500 0.329
0.500 0.500 0.671
0.000 0.000 0.500
```

---

An optimized crystal structure of TaMo3, computed with PBE.

Values from the calculation:
E_form   -0.572 eV/f.u.
Space group   Cmmm
Final energy   -11.23 eV per atom

The structure in POSCAR format:
```
TaMo3
1.0
3.205 -6.389 0.000
3.205 6.389 0.000
0.000 0.000 3.191
Ta Mo
2 6
Direct
0.125 0.875 0.000
0.875 0.125 0.000
0.000 0.500 0.500
0.256 0.256 0.500
0.375 0.625 0.000
0.500 0.000 0.500
0.625 0.375 0.000
0.744 0.744 0.500
```

---

An optimized crystal structure of Ca2Pa2Ni15, computed with PBE.

Values from the calculation:
E_form   -3.573 eV/f.u.
Space group   R-3m
Final energy   -5.96 eV per atom

The structure in POSCAR format:
```
Ca2Pa2Ni15
1.0
4.267 2.463 4.255
-4.267 2.463 4.255
0.000 -4.927 4.255
Ca Pa Ni
2 2 15
Direct
0.134 0.134 0.134
0.866 0.866 0.866
0.387 0.387 0.387
0.613 0.613 0.613
0.000 0.500 0.500
0.157 0.157 0.657
0.157 0.657 0.157
0.196 0.500 0.804
0.196 0.804 0.500
0.343 0.843 0.843
0.500 0.000 0.500
0.500 0.196 0.804
0.500 0.500 0.000
0.500 0.804 0.196
0.657 0.157 0.157
0.804 0.196 0.500
0.804 0.500 0.196
0.843 0.343 0.843
0.843 0.843 0.343
```

---

An optimized crystal structure of BaGa2HgGe, computed with PBE.

Values from the calculation:
E_form   -0.383 eV/f.u.
Energy above the most stable polymorph in this dataset   297 meV per atom
Space group   P4/mmm
Final energy   -2.66 eV per atom

The structure in POSCAR format:
```
BaGa2HgGe
1.0
5.152 0.000 0.000
0.000 5.152 0.000
0.000 0.000 5.516
Ba Ga Hg Ge
1 2 1 1
Direct
0.000 0.000 0.000
0.000 0.500 0.500
0.500 0.000 0.500
0.500 0.500 0.000
0.500 0.500 0.500
```

---

An optimized crystal structure of Ba2CaY, computed with PBE.

Values from the calculation:
E_form   0.711 eV/f.u.
Energy above the most stable polymorph in this dataset   45 meV per atom
Space group   R-3m
Final energy   -2.90 eV per atom

The structure in POSCAR format:
```
Ba2CaY
1.0
2.008 1.160 13.289
-2.008 1.160 13.289
0.000 -2.319 13.289
Ba Ca Y
2 1 1
Direct
0.246 0.246 0.246
0.754 0.754 0.754
0.000 0.000 0.000
0.500 0.500 0.500
```

---

An optimized crystal structure of TbHo4Tm7, computed with PBE.

Values from the calculation:
E_form   3.587 eV/f.u.
Energy above the most stable polymorph in this dataset   207 meV per atom
Space group   C2/m
Final energy   -4.22 eV per atom

The structure in POSCAR format:
```
TbHo4Tm7
1.0
5.967 -2.882 0.000
5.967 2.882 0.000
-5.924 0.000 11.025
Tb Ho Tm
1 4 7
Direct
0.000 0.000 0.000
0.244 0.244 0.681
0.364 0.364 0.225
0.636 0.636 0.775
0.756 0.756 0.319
0.061 0.061 0.323
0.212 0.212 0.924
0.365 0.365 0.499
0.500 0.500 0.000
0.635 0.635 0.501
0.788 0.788 0.076
0.939 0.939 0.677
```